# 1
A relaxed Nb2Zn4O9 crystal. Source: OQMD via LeMat-Bulk, functional PBE.

The raw total energy comes out at -6.57 eV/atom. The value obtained for the density is 5.895 g cm⁻³.

It has space group P-3c1 (No. 165), with a = 5.2100 Å, b = 5.2100 Å, c = 14.1739 Å, α = 90.00°, β = 90.00° and γ = 120.00°. The inequivalent atoms are Nb at (0.0000, 0.0000, 0.1392), Zn at (0.3333, 0.6667, 0.0164), Zn at (0.3333, 0.6667, 0.2988), O at (0.0000, 0.2871, 0.2500) and O at (0.0227, 0.3443, 0.9163).

=====

# 2
A relaxed Ag3SeCl crystal. Source: OQMD via LeMat-Bulk, functional PBE.

As for the energy relative to the lowest polymorph listed for this composition: 0.00 eV/f.u. The value obtained for the density is 5.732 g cm⁻³.

It has space group P2_1/c (No. 14), with a = 8.3556 Å, b = 5.5089 Å, c = 11.1330 Å, α = 90.00°, β = 97.95° and γ = 90.00°. The inequivalent atoms are Ag at (0.0476, 0.0831, 0.2390), Ag at (0.1223, 0.1850, 0.9810), Ag at (0.3133, 0.5251, 0.2975), Se at (0.1592, 0.6879, 0.9246) and Cl at (0.3765, 0.2015, 0.1552).

=====

# 3
A relaxed TaPt2 crystal. Source: OQMD via LeMat-Bulk, functional PBE.

The formation energy comes out at 1.877 eV/atom. The value obtained for the density is 5.470 g cm⁻³.

It has space group Fd-3m (No. 227, origin choice 2), with a = 11.1522 Å, b = 11.1522 Å, c = 11.1522 Å, α = 90.00°, β = 90.00° and γ = 90.00°. The inequivalent atoms are Ta at (0.1250, 0.1250, 0.1250) and Pt at (0.0000, 0.0000, 0.0000).

=====

# 4
A relaxed PrBTe crystal. Source: OQMD via LeMat-Bulk, functional PBE.

As for the energy relative to the lowest polymorph listed for this composition: 0.00 eV/f.u. The value obtained for the density is 6.452 g cm⁻³.

It has space group F-43m (No. 216), with a = 6.6004 Å, b = 6.6004 Å, c = 6.6004 Å, α = 90.00°, β = 90.00° and γ = 90.00°. The inequivalent atoms are Pr at (0.0000, 0.0000, 0.0000), B at (0.2500, 0.2500, 0.2500) and Te at (0.0000, 0.0000, 0.5000).